Record 1
! SrHo2GeN4 | the Alexandria database | PBE | optimized geometry; values from VASP
&SYSTEM
  ibrav = 0, nat = 16, ntyp = 4
/
ATOMIC_SPECIES
Ge 72.64 Ge.upf
Ho 164.93 Ho.upf
Sr 87.62 Sr.upf
N 14.01 N.upf
CELL_PARAMETERS angstrom
-2.051 0.290 -2.704
1.809 -5.927 0.138
-9.271 -2.673 6.746
ATOMIC_POSITIONS angstrom
Ge -7.472 -5.603 2.921
Ge -2.041 -2.708 1.258
Ho -4.414 -5.717 2.735
Ho -8.333 -6.847 5.587
Ho -1.180 -1.463 -1.407
Ho -5.099 -2.593 1.444
Sr -6.805 -3.096 4.830
Sr -2.707 -5.215 -0.651
N -3.212 -1.494 0.131
N -3.116 -4.033 1.931
N -0.702 -3.337 0.175
N -6.397 -4.278 2.249
N -4.635 -1.337 3.373
N -6.301 -6.816 4.049
N -8.811 -4.974 4.005
N 0.000 0.000 0.000
! total DFT energy (no corrections): -7.186 eV/atom
! formation energy (no corrections): -1.09 eV per atom

---

Record 2
! Ho8Ge3Te4N | the Alexandria database | PBE | optimized geometry; values from VASP
&SYSTEM
  ibrav = 0, nat = 16, ntyp = 4
/
ATOMIC_SPECIES
Ho 164.93 Ho.upf
Te 127.60 Te.upf
Ge 72.64 Ge.upf
N 14.01 N.upf
CELL_PARAMETERS angstrom
8.212 0.000 0.000
0.000 8.477 0.176
-4.106 -4.104 5.812
ATOMIC_POSITIONS angstrom
Ho 6.293 2.426 0.166
Ho -2.187 1.947 5.822
Ho 0.000 0.224 3.061
Ho 1.919 2.426 0.166
Ho 0.000 4.132 2.753
Ho 4.106 0.240 3.236
Ho 2.187 1.947 5.822
Ho 4.106 4.149 2.927
Te 2.053 -2.052 2.906
Te -2.053 -2.052 2.906
Te 0.000 0.000 0.000
Te 4.106 0.000 0.000
Ge -2.053 2.186 2.994
Ge 4.106 4.238 0.088
Ge 2.053 2.186 2.994
N 0.000 4.238 0.088
! total DFT energy (no corrections): -5.639 eV/atom
! formation energy (no corrections): -1.18 eV per atom

---

Record 3
! NaHoGe | the Alexandria database | PBE | optimized geometry; values from VASP
&SYSTEM
  ibrav = 0, nat = 6, ntyp = 3
/
ATOMIC_SPECIES
Na 22.99 Na.upf
Ho 164.93 Ho.upf
Ge 72.64 Ge.upf
CELL_PARAMETERS angstrom
-0.018 -4.411 1.993
-0.266 -3.924 -2.819
8.357 -3.500 4.090
ATOMIC_POSITIONS angstrom
Na 6.949 -6.122 2.997
Na 4.926 -8.844 2.830
Ho 2.860 -1.594 1.229
Ho 0.824 -4.318 1.060
Ge 3.086 -7.161 0.655
Ge 8.087 -8.937 2.657
! ΔH_f (0 K): -318 meV/atom
! total DFT energy (no corrections): -3.823 eV/atom

---

Record 4
! NaHoGe4 | the Alexandria database | PBE | optimized geometry; values from VASP
&SYSTEM
  ibrav = 0, nat = 6, ntyp = 3
/
ATOMIC_SPECIES
Ho 164.93 Ho.upf
Ge 72.64 Ge.upf
Na 22.99 Na.upf
CELL_PARAMETERS angstrom
5.605 0.000 0.000
2.803 4.854 0.000
2.803 1.618 4.577
ATOMIC_POSITIONS angstrom
Ho 2.803 1.618 1.144
Ge 7.002 4.043 2.859
Ge 5.605 3.236 0.577
Ge 5.605 1.623 2.859
Ge 4.208 4.043 2.859
Na 0.000 0.000 0.000
! ΔH_f (0 K): -245 meV/atom
! total DFT energy (no corrections): -4.306 eV/atom

---

Record 5
! Na3Ho3GeO8 | the Alexandria database | PBE | optimized geometry; values from VASP
&SYSTEM
  ibrav = 0, nat = 15, ntyp = 4
/
ATOMIC_SPECIES
Ho 164.93 Ho.upf
O 16.00 O.upf
Ge 72.64 Ge.upf
Na 22.99 Na.upf
CELL_PARAMETERS angstrom
-0.534 -6.537 -0.944
0.797 2.410 6.121
-5.864 0.940 -3.193
ATOMIC_POSITIONS angstrom
Ho -3.199 -2.798 -2.068
Ho -2.800 -1.594 0.992
Ho -2.533 1.675 1.464
O -3.698 -2.023 3.071
O -1.437 -0.179 2.051
O -4.164 -3.009 -0.066
O -3.399 1.639 3.600
O -3.846 0.289 0.171
O -1.902 -1.165 -1.087
O -2.201 -4.827 -1.616
O -1.755 -3.477 1.813
Ge -2.932 0.470 -1.596
Na 0.000 0.000 0.000
Na 0.132 -2.063 2.589
Na 0.399 1.205 3.060
! total DFT energy (no corrections): -6.693 eV/atom
! formation energy (no corrections): -2.56 eV per atom

---

Record 6
! Na2Ho2GeO6 | the Alexandria database | PBE | optimized geometry; values from VASP
&SYSTEM
  ibrav = 0, nat = 11, ntyp = 4
/
ATOMIC_SPECIES
O 16.00 O.upf
Na 22.99 Na.upf
Ho 164.93 Ho.upf
Ge 72.64 Ge.upf
CELL_PARAMETERS angstrom
-0.225 5.523 -1.209
-4.615 -2.641 1.937
2.769 0.492 5.141
ATOMIC_POSITIONS angstrom
O -2.367 3.716 1.708
O 1.632 2.143 3.204
O -1.802 2.550 4.102
O -0.268 0.825 1.767
O 0.296 -0.341 4.162
O -3.702 1.232 2.665
Na -3.969 -1.439 1.474
Na -0.871 4.322 -0.746
Ho -0.311 3.035 2.415
Ho -1.760 0.340 3.454
Ge 1.384 0.246 2.571
! total DFT energy (no corrections): -6.644 eV/atom
! formation energy (no corrections): -2.45 eV per atom

---

Record 7
! NaHoGePd | the Alexandria database | PBE | optimized geometry; values from VASP
&SYSTEM
  ibrav = 0, nat = 4, ntyp = 4
/
ATOMIC_SPECIES
Na 22.99 Na.upf
Ho 164.93 Ho.upf
Pd 106.42 Pd.upf
Ge 72.64 Ge.upf
CELL_PARAMETERS angstrom
-1.054 4.024 2.267
-3.497 2.770 -1.594
-4.043 0.353 2.444
ATOMIC_POSITIONS angstrom
Na -6.446 5.360 2.338
Ho -4.297 3.573 1.559
Pd -2.149 1.787 0.779
Ge 0.000 0.000 0.000
! ΔH_f (0 K): -473 meV/atom
! total DFT energy (no corrections): -4.400 eV/atom

---

Record 8
! Na2Ho2GeS6 | the Alexandria database | PBE | optimized geometry; values from VASP
&SYSTEM
  ibrav = 0, nat = 11, ntyp = 4
/
ATOMIC_SPECIES
S 32.06 S.upf
Ge 72.64 Ge.upf
Ho 164.93 Ho.upf
Na 22.99 Na.upf
CELL_PARAMETERS angstrom
6.641 0.003 0.095
-3.280 5.775 0.095
-1.158 -1.991 6.729
ATOMIC_POSITIONS angstrom
S 1.778 3.056 4.896
S 0.426 0.731 2.023
S -1.611 0.765 4.851
S 3.815 3.023 2.068
S 0.742 4.810 2.068
S 1.461 -1.023 4.851
Ge -0.579 -0.995 3.365
Ho 2.775 0.920 3.460
Ho -0.572 2.867 3.460
Na 4.985 0.967 0.095
Na -1.624 4.811 0.095
! total DFT energy (no corrections): -5.063 eV/atom
! formation energy (no corrections): -1.32 eV per atom

---

Record 9
! Na3Ho3GeS8 | the Alexandria database | PBE | optimized geometry; values from VASP
&SYSTEM
  ibrav = 0, nat = 15, ntyp = 4
/
ATOMIC_SPECIES
Ho 164.93 Ho.upf
S 32.06 S.upf
Na 22.99 Na.upf
Ge 72.64 Ge.upf
CELL_PARAMETERS angstrom
-2.873 2.957 6.592
-2.584 -6.842 -2.642
7.493 0.401 3.086
ATOMIC_POSITIONS angstrom
Ho 2.310 1.679 4.839
Ho 2.454 -3.220 0.222
Ho 1.018 -1.741 3.518
S -0.098 2.341 5.989
S 2.049 -0.822 5.847
S 1.466 0.731 2.401
S -1.505 -1.385 4.551
S 0.570 -4.214 4.635
S 3.540 -2.098 2.485
S 2.133 -5.823 1.047
S -0.013 -2.661 1.188
Na -1.292 -3.421 -1.321
Na 0.000 0.000 0.000
Na -2.729 -1.942 1.975
Ge 3.747 0.201 1.543
! total DFT energy (no corrections): -5.159 eV/atom
! formation energy (no corrections): -1.47 eV per atom

---

Record 10
! Na4Ho3GeS8 | the Alexandria database | PBE | optimized geometry; values from VASP
&SYSTEM
  ibrav = 0, nat = 16, ntyp = 4
/
ATOMIC_SPECIES
Ho 164.93 Ho.upf
Na 22.99 Na.upf
S 32.06 S.upf
Ge 72.64 Ge.upf
CELL_PARAMETERS angstrom
-0.900 2.985 -7.197
2.397 -6.996 -3.201
-6.010 0.034 5.040
ATOMIC_POSITIONS angstrom
Ho -2.257 -1.989 -2.679
Ho 0.748 -2.006 -5.199
Ho -1.807 -3.481 0.919
Na -3.455 1.509 -1.079
Na -0.450 1.492 -3.599
Na 0.000 0.000 0.000
Na -3.005 0.017 2.520
S -1.302 -4.323 -1.630
S -4.877 -2.760 -2.746
S -3.212 0.346 -3.728
S -1.841 -2.858 -5.228
S 0.363 -1.217 -2.612
S -4.411 -4.305 0.979
S -0.103 0.328 -6.337
S -2.673 -1.119 -0.130
Ge 1.198 -3.498 -1.601
! total DFT energy (no corrections): -5.054 eV/atom
! formation energy (no corrections): -1.51 eV per atom

---

Record 11
! Na4Ho3GeSe8 | the Alexandria database | PBE | optimized geometry; values from VASP
&SYSTEM
  ibrav = 0, nat = 16, ntyp = 4
/
ATOMIC_SPECIES
Se 78.96 Se.upf
Na 22.99 Na.upf
Ho 164.93 Ho.upf
Ge 72.64 Ge.upf
CELL_PARAMETERS angstrom
-7.324 3.645 0.167
-0.163 -0.712 8.404
6.354 3.745 -3.544
ATOMIC_POSITIONS angstrom
Se 1.151 2.111 4.443
Se 4.428 4.042 2.615
Se -2.284 4.568 0.584
Se -5.561 2.637 2.412
Se 1.338 2.665 0.492
Se -1.784 0.757 2.326
Se 0.651 5.921 2.701
Se -2.471 4.013 4.535
Na 0.000 0.000 0.000
Na -0.485 3.695 -1.689
Na -3.662 1.822 0.083
Na 3.177 1.873 -1.772
Ho 3.096 1.517 2.430
Ho -3.743 1.466 4.286
Ho -0.567 3.339 2.513
Ge -0.081 -0.356 4.202
! total DFT energy (no corrections): -4.616 eV/atom
! formation energy (no corrections): -1.40 eV per atom

---

Record 12
! Na2HoGeSe4 | the Alexandria database | PBE | optimized geometry; values from VASP
&SYSTEM
  ibrav = 0, nat = 16, ntyp = 4
/
ATOMIC_SPECIES
Ho 164.93 Ho.upf
Se 78.96 Se.upf
Ge 72.64 Ge.upf
Na 22.99 Na.upf
CELL_PARAMETERS angstrom
-1.341 6.125 5.312
-5.278 -4.777 4.103
7.750 -2.628 -1.542
ATOMIC_POSITIONS angstrom
Ho -0.105 2.422 6.592
Ho -2.639 -2.389 2.052
Se -2.266 3.528 5.089
Se -1.493 0.221 2.311
Se 2.624 -1.502 5.562
Se 1.509 1.936 4.287
Se 2.019 -0.970 1.613
Se -0.378 -3.217 3.586
Se -0.888 -0.311 6.260
Se 3.397 -4.809 2.784
Ge 6.410 3.496 3.770
Ge 0.566 -0.641 3.937
Na -0.670 3.062 2.656
Na 3.875 -1.314 -0.771
Na 3.205 1.748 1.885
Na -3.310 0.674 4.707
! total DFT energy (no corrections): -4.310 eV/atom
! formation energy (no corrections): -1.09 eV per atom

---

Record 13
! Na4Ho3GeTe8 | the Alexandria database | PBE | optimized geometry; values from VASP
&SYSTEM
  ibrav = 0, nat = 16, ntyp = 4
/
ATOMIC_SPECIES
Na 22.99 Na.upf
Ho 164.93 Ho.upf
Te 127.60 Te.upf
Ge 72.64 Ge.upf
CELL_PARAMETERS angstrom
-4.674 2.224 -7.045
7.165 -1.796 -5.321
-2.906 -6.248 5.380
ATOMIC_POSITIONS angstrom
Na 0.000 0.000 0.000
Na -2.337 1.112 -3.522
Na -1.453 -3.124 2.690
Na -3.790 -2.012 -0.832
Ho 1.246 0.214 -6.183
Ho 2.130 -4.022 0.030
Ho -0.207 -2.910 -3.493
Te -1.631 1.124 -6.761
Te 0.354 -2.716 -6.516
Te 2.703 -3.748 -2.976
Te 1.216 -6.944 -0.224
Te 0.760 -0.013 -3.158
Te -1.175 -5.807 -3.828
Te -0.768 -3.104 -0.470
Te -3.117 -2.072 -4.009
Ge 3.583 -0.898 -2.660
! total DFT energy (no corrections): -4.098 eV/atom
! formation energy (no corrections): -1.05 eV per atom

---

Record 14
! Na3Ho3GeTe8 | the Alexandria database | PBE | optimized geometry; values from VASP
&SYSTEM
  ibrav = 0, nat = 15, ntyp = 4
/
ATOMIC_SPECIES
Te 127.60 Te.upf
Na 22.99 Na.upf
Ho 164.93 Ho.upf
Ge 72.64 Ge.upf
CELL_PARAMETERS angstrom
-5.439 -5.550 -3.734
6.849 2.921 -4.365
1.453 -6.011 6.819
ATOMIC_POSITIONS angstrom
Te -0.846 -3.010 0.928
Te -0.113 -4.378 -3.282
Te 2.975 -4.263 2.001
Te 6.536 -2.745 -0.267
Te 0.362 -7.108 0.085
Te 3.709 -5.630 -2.208
Te -3.674 -5.895 -1.013
Te 2.500 -1.532 -1.365
Na 0.000 0.000 0.000
Na 3.425 1.460 -2.183
Na 0.705 -1.315 -4.049
Ho 1.431 -4.320 -0.640
Ho -1.993 -5.781 1.542
Ho 4.151 -1.545 1.227
Ge 0.726 -3.006 3.409
! total DFT energy (no corrections): -4.143 eV/atom
! formation energy (no corrections): -0.98 eV per atom

---

Record 15
! Na2HoGeTe4 | the Alexandria database | PBE | optimized geometry; values from VASP
&SYSTEM
  ibrav = 0, nat = 8, ntyp = 4
/
ATOMIC_SPECIES
Te 127.60 Te.upf
Na 22.99 Na.upf
Ho 164.93 Ho.upf
Ge 72.64 Ge.upf
CELL_PARAMETERS angstrom
4.174 0.000 0.000
0.000 7.679 0.239
0.000 -2.582 7.559
ATOMIC_POSITIONS angstrom
Te 2.087 3.884 6.076
Te 2.087 1.213 1.721
Te 0.000 5.165 1.901
Te 0.000 -0.067 5.896
Na 2.087 -1.291 3.779
Na 0.000 2.549 3.899
Ho 2.087 3.840 0.119
Ge 0.000 0.000 0.000
! total DFT energy (no corrections): -3.850 eV/atom
! formation energy (no corrections): -0.80 eV per atom

---

Record 16
! NaHoTlGe | the Alexandria database | PBE | optimized geometry; values from VASP
&SYSTEM
  ibrav = 0, nat = 4, ntyp = 4
/
ATOMIC_SPECIES
Na 22.99 Na.upf
Ho 164.93 Ho.upf
Ge 72.64 Ge.upf
Tl 204.38 Tl.upf
CELL_PARAMETERS angstrom
5.171 0.000 0.000
2.586 4.478 0.000
2.586 1.493 4.222
ATOMIC_POSITIONS angstrom
Na 5.171 2.986 2.111
Ho 0.000 0.000 0.000
Ge 2.586 1.493 1.056
Tl 7.757 4.478 3.167
! ΔH_f (0 K): -221 meV/atom
! total DFT energy (no corrections): -3.441 eV/atom

---

Record 17
! NaHoZnGe | the Alexandria database | PBE | optimized geometry; values from VASP
&SYSTEM
  ibrav = 0, nat = 4, ntyp = 4
/
ATOMIC_SPECIES
Ge 72.64 Ge.upf
Zn 65.41 Zn.upf
Ho 164.93 Ho.upf
Na 22.99 Na.upf
CELL_PARAMETERS angstrom
-4.950 -0.049 -0.261
-2.451 -4.303 0.223
-2.683 -1.119 4.016
ATOMIC_POSITIONS angstrom
Ge 0.000 0.000 0.000
Zn -5.042 -2.736 1.989
Ho -2.521 -1.368 0.995
Na -7.563 -4.103 2.984
! ΔH_f (0 K): -286 meV/atom
! total DFT energy (no corrections): -3.233 eV/atom

---

Record 18
! Na2HoZnGe2 | the Alexandria database | PBE | optimized geometry; values from VASP
&SYSTEM
  ibrav = 0, nat = 12, ntyp = 4
/
ATOMIC_SPECIES
Ge 72.64 Ge.upf
Ho 164.93 Ho.upf
Na 22.99 Na.upf
Zn 65.41 Zn.upf
CELL_PARAMETERS angstrom
-3.406 -1.390 2.437
4.427 -1.157 5.527
-1.304 7.936 2.706
ATOMIC_POSITIONS angstrom
Ge 0.973 3.230 7.198
Ge 3.060 0.663 4.654
Ge 0.045 6.121 3.554
Ge -0.956 2.081 3.845
Ho -0.579 3.676 1.289
Ho 1.541 3.667 4.247
Na 2.606 5.760 6.928
Na -1.727 -0.031 1.564
Na -0.591 5.951 6.564
Na 1.300 0.815 2.281
Zn -1.936 4.584 3.904
Zn 0.765 1.037 5.656
! ΔH_f (0 K): -351 meV/atom
! total DFT energy (no corrections): -3.305 eV/atom

---

Record 19
! NaHoZn2Ge2 | the Alexandria database | PBE | optimized geometry; values from VASP
&SYSTEM
  ibrav = 0, nat = 6, ntyp = 4
/
ATOMIC_SPECIES
Ge 72.64 Ge.upf
Na 22.99 Na.upf
Ho 164.93 Ho.upf
Zn 65.41 Zn.upf
CELL_PARAMETERS angstrom
4.265 0.000 0.000
-2.133 3.694 0.000
0.000 0.000 8.022
ATOMIC_POSITIONS angstrom
Ge 0.000 2.463 2.209
Ge 2.133 1.231 5.814
Na 0.000 0.000 0.000
Ho 0.000 0.000 4.011
Zn 0.000 2.463 5.952
Zn 2.133 1.231 2.070
! ΔH_f (0 K): -381 meV/atom
! total DFT energy (no corrections): -3.328 eV/atom

---

Record 20
! HoNbGe2 | the Alexandria database | PBE | optimized geometry; values from VASP
&SYSTEM
  ibrav = 0, nat = 4, ntyp = 3
/
ATOMIC_SPECIES
Ge 72.64 Ge.upf
Nb 92.91 Nb.upf
Ho 164.93 Ho.upf
CELL_PARAMETERS angstrom
3.860 0.000 0.000
1.930 3.343 0.000
1.930 1.114 6.489
ATOMIC_POSITIONS angstrom
Ge 1.930 1.114 1.454
Ge 5.790 3.343 5.035
Nb 0.000 0.000 0.000
Ho 3.860 2.228 3.245
! ΔH_f (0 K): -504 meV/atom
! total DFT energy (no corrections): -6.475 eV/atom

---

Record 21
! HoNb4Ge4 | the Alexandria database | PBE | optimized geometry; values from VASP
&SYSTEM
  ibrav = 0, nat = 18, ntyp = 3
/
ATOMIC_SPECIES
Ge 72.64 Ge.upf
Nb 92.91 Nb.upf
Ho 164.93 Ho.upf
CELL_PARAMETERS angstrom
5.062 0.000 0.000
0.000 8.568 0.000
0.000 0.000 8.568
ATOMIC_POSITIONS angstrom
Ge 3.011 7.328 2.445
Ge 3.011 1.240 6.123
Ge 4.582 5.524 1.839
Ge 2.051 2.445 1.240
Ge 0.480 1.839 3.044
Ge 2.051 6.123 7.328
Ge 4.582 3.044 6.729
Ge 0.480 6.729 5.524
Nb 1.968 5.259 1.134
Nb 3.094 7.433 5.259
Nb 1.968 3.309 7.433
Nb 4.499 3.150 0.975
Nb 0.563 0.975 5.418
Nb 3.094 1.134 3.309
Nb 4.499 5.418 7.592
Nb 0.563 7.592 3.150
Ho 0.000 0.000 0.000
Ho 2.531 4.284 4.284
! ΔH_f (0 K): -182 meV/atom
! total DFT energy (no corrections): -7.218 eV/atom

---

no.,V (Å³/f.u.),ρ (Mg/m³)
1,120,7.6
2,411,8.3
3,83,5.2
4,125,6.4
5,211,6.0
6,158,5.7
7,75,8.1
8,261,4.1
9,354,4.2
10,355,4.3
11,405,5.3
12,195,5.1
13,501,5.6
14,498,5.5
15,245,5.4
16,98,7.9
17,86,6.3
18,134,5.2
19,126,6.1
20,84,8.0
21,186,7.4